Compound: K2YInP
Source: Alexandria via LeMat-Bulk
Functional: meta-GGA SCAN
Structure: PBEsol geometry

Unit cell a=6.8138 b=6.8138 c=5.5739 alpha=90.00 beta=90.00 gamma=90.00
Closest atoms and distances in Å follow each position.
Space group P4/mmm (No. 123)
Symmetry-distinct sites (fractional):
K (0.0000, 0.5000, 0.0000) x2  2 Y 3.41
Y (0.0000, 0.0000, 0.0000) x1  2 In 2.79
In (0.0000, 0.0000, 0.5000) x1  2 Y 2.79
P (0.5000, 0.5000, 0.5000) x1  8 K 4.40, 4 In 4.82

Results
E_tot	-16.5666	eV/atom
M_tot	1.58	μB/cell
energy relative to the elements	1091	meV per atom